Material: Rb2TcWF6
Method: DFT, PBE with a Hubbard U
State: relaxed

a b c (Å): 6.238 6.238 6.237
angles (deg): 59.99 59.99 90.00
Site moments in Bohr magnetons follow the coordinates.
Atoms (fractional coordinates):
Rb 0.750 0.250 0.500  0.00
Rb 0.250 0.750 0.500  0.00
Tc 0.500 0.500 0.000  0.02
W 0.000 0.000 0.000  2.76
F 0.240 0.240 0.521  0.03
F 0.760 0.760 0.479  0.03
F 0.239 0.239 0.000  0.03
F 0.761 0.761 0.000  0.03
F 0.761 0.239 0.000  0.03
F 0.239 0.761 0.000  0.03

Results
Raw total energy, Ry/atom: -0.36778
Crystal system: cubic
Symmetry: No. 225